1.
Below is crystalline SmTmTlHg at its relaxed geometry, with properties calculated at the GGA-PBE level.

Properties
* calculated volume: 431 Å³ per cell
* spin magnetization: 0.53 μB per formula unit
* crystal system: cubic
* calculated total energy: -13.460 eV per formula unit
* energy relative to the lowest polymorph listed for this composition: 11 meV/atom

Unit cell a=7.5560 b=7.5560 c=7.5560 alpha=90.00 beta=90.00 gamma=90.00
Space group F-43m (No. 216)
Symmetry-distinct sites (fractional):
Sm (0.0000, 0.0000, 0.0000) [4 per cell]
Tm (0.0000, 0.0000, 0.5000) [4 per cell]
Tl (0.2500, 0.2500, 0.2500) [4 per cell]
Hg (0.2500, 0.2500, 0.7500) [4 per cell]

=====

2.
Below is crystalline Zr2AlNi3 at its relaxed geometry, with properties calculated at the GGA-PBE level.

Properties
* calculated volume: 185 Å³ per cell
* spin magnetization: 0.00 μB per formula unit
* crystal system: orthorhombic
* calculated total energy: -40.327 eV per formula unit
* energy relative to the lowest polymorph listed for this composition: 164 meV/atom

Unit cell a=3.9134 b=14.2189 c=3.3259 alpha=90.00 beta=90.00 gamma=90.00
Space group Cmmm (No. 65)
Symmetry-distinct sites (fractional):
Zr (0.0000, 0.1680, 0.0000) [4 per cell]
Al (0.0000, 0.0000, 0.5000) [2 per cell]
Ni (0.0000, 0.3659, 0.5000) [4 per cell]
Ni (0.0000, 0.5000, 0.0000) [2 per cell]

=====

Values of calculated formation energy, in order: -0.4002, -0.3573, all in eV per atom.